(1)
VASP calculation (GGA-PBE) on crystalline CrFe3I at its relaxed geometry.

Values from the calculation:
* magnetic moment: 5.0 μB/cell
* VASP energy: -6.003 eV per atom

Lattice parameters (Å, degrees): 4.417 4.417 4.417 90.00 90.00 90.00
Space group Pm-3m (No. 221)
Unique sites:
Cr1 0.000 0.000 0.000 x1
Fe1 0.000 0.000 0.500 x3
I1 0.500 0.500 0.500 x1

(2)
VASP calculation (GGA-PBE) on crystalline KCrFe2I8 at its relaxed geometry.

Values from the calculation:
* magnetic moment: 23.0 μB/cell
* VASP energy: -3.705 eV per atom

Lattice parameters (Å, degrees): 11.732 8.108 10.205 90.00 94.92 90.00
Space group C2/m (No. 12)
Unique sites:
K1 0.000 0.000 0.000 x2
Cr1 0.000 0.000 0.500 x2
Fe1 0.126 0.500 0.290 x4
I1 0.015 0.245 0.699 x8
I2 0.196 0.500 0.061 x4
I3 0.234 0.000 0.497 x4

(3)
VASP calculation (GGA-PBE) on crystalline NaCrFeI2 at its relaxed geometry.

Values from the calculation:
* magnetic moment: 8.2 μB/cell
* VASP energy: -3.810 eV per atom

Lattice parameters (Å, degrees): 5.326 5.326 5.473 90.00 90.00 90.00
Space group P4/mmm (No. 123)
Unique sites:
Na1 0.000 0.000 0.000 x1
Cr1 0.500 0.500 0.000 x1
Fe1 0.000 0.000 0.500 x1
I1 0.000 0.500 0.500 x2